No. 1
# DyGa2Fe2Si

DyGa2Fe2Si after structural relaxation (PBE, Alexandria).

Cell: 4.2398 4.2398 5.5225 Å, 90.00 90.00 90.00°
Last column: magnetic moment on the atom in μB.
Element x y z (fractional)
Si (0.0000, 0.0000, 0.0000)  -0.05
Fe (0.5000, 0.0000, 0.0000)  0.93
Ga (0.5000, 0.5000, 0.7375)  -0.05
Dy (0.0000, 0.0000, 0.5000)  -0.06
Ga (0.5000, 0.5000, 0.2625)  -0.05
Fe (0.0000, 0.5000, 0.0000)  0.93

Uncorrected formation energy, meV per atom: -249
V, Å³/cell: 99


No. 2
# Ca2YRh

Ca2YRh after structural relaxation (PBE, Alexandria).

Cell: 8.2924 8.2924 8.2924 Å, 155.76 148.04 40.51°
Element x y z (fractional)
Ca (0.9133, 0.9133, 0.0000)
Y (0.2500, 0.7500, 0.5000)
Ca (0.5867, 0.5867, 0.0000)
Rh (0.7500, 0.2500, 0.5000)

Final energy, eV per cell: -18.85
V, Å³/cell: 124


No. 3
# Zr2TiGa

Zr2TiGa after structural relaxation (PBE, Alexandria).

Cell: 7.6629 7.6629 6.0975 Å, 51.07 51.07 90.00°
Element x y z (fractional)
Ti (0.5000, 0.5000, 0.0000)
Ti (0.2500, 0.7500, 0.5000)
Ga (0.7500, 0.2500, 0.5000)
Zr (0.3750, 0.3628, 0.7500)
Zr (0.1128, 0.6250, 0.2500)
Zr (0.6372, 0.1250, 0.2500)
Ga (0.0000, 0.0000, 0.0000)
Zr (0.8750, 0.8872, 0.7500)

Final energy, eV per cell: -54.97
V, Å³/cell: 164


No. 4
# Er8Ag2Pt

Er8Ag2Pt after structural relaxation (PBE, Alexandria).

Cell: 5.1449 6.7680 9.0997 Å, 106.11 106.42 90.00°
Element x y z (fractional)
Ag (0.8160, 0.2772, 0.6320)
Er (0.0273, 0.7843, 0.0546)
Er (0.4097, 0.5622, 0.8193)
Er (0.6612, 0.9720, 0.3224)
Er (0.5903, 0.4378, 0.1807)
Er (0.9727, 0.2157, 0.9454)
Ag (0.1840, 0.7228, 0.3680)
Er (0.7976, 0.6833, 0.5952)
Er (0.3388, 0.0280, 0.6776)
Er (0.2024, 0.3167, 0.4048)
Pt (0.5000, 0.0000, 0.0000)

Final energy, eV per cell: -51.97
V, Å³/cell: 291


No. 5
# RbNa2O

RbNa2O after structural relaxation (PBE, Alexandria).

Cell: 7.2591 7.2591 7.2791 Å, 60.09 60.09 90.00°
Element x y z (fractional)
Na (0.3750, 0.6249, 0.7500)
O (0.2500, 0.7500, 0.5000)
Rb (0.7500, 0.2500, 0.5000)
Rb (0.0000, 0.0000, 0.0000)
O (0.5000, 0.5000, 0.0000)
Na (0.8750, 0.6251, 0.7500)
Na (0.3749, 0.6250, 0.2500)
Na (0.3751, 0.1250, 0.2500)

Uncorrected formation energy, meV per atom: -707
V, Å³/cell: 272


No. 6
# PaGe2O6F

PaGe2O6F after structural relaxation (PBE, Alexandria).

Cell: 4.9490 8.0071 8.0071 Å, 85.35 77.83 77.83°
Element x y z (fractional)
Ge (0.7097, 0.2360, 0.4138)
O (0.0494, 0.6290, 0.2178)
O (0.4506, 0.7822, 0.3710)
Ge (0.7903, 0.5862, 0.7640)
O (0.4599, 0.5948, 0.7086)
O (0.2460, 0.9562, 0.6924)
O (0.5494, 0.2178, 0.6290)
O (0.9599, 0.7086, 0.5948)
O (0.2540, 0.3076, 0.0438)
O (0.5401, 0.4052, 0.2914)
O (0.7460, 0.6924, 0.9562)
O (0.9506, 0.3710, 0.7822)
O (0.0401, 0.2914, 0.4052)
Pa (0.2500, 0.1580, 0.8420)
Ge (0.2903, 0.7640, 0.5862)
Pa (0.7500, 0.8420, 0.1580)
F (0.2500, 0.9416, 0.0584)
Ge (0.2097, 0.4138, 0.2360)
O (0.7540, 0.0438, 0.3076)
F (0.7500, 0.0584, 0.9416)

Uncorrected formation energy, meV per atom: -2389
V, Å³/cell: 303


No. 7
# Mg4NiRh

Mg4NiRh after structural relaxation (PBE, Alexandria).

Cell: 5.3139 5.3139 5.3139 Å, 60.00 60.00 60.00°
Element x y z (fractional)
Mg (0.3749, 0.8752, 0.3749)
Rh (0.0000, 0.0000, 0.0000)
Mg (0.3749, 0.3749, 0.8752)
Mg (0.8752, 0.3749, 0.3749)
Ni (0.7500, 0.7500, 0.7500)
Mg (0.3749, 0.3749, 0.3749)

Final energy, eV per cell: -17.54
V, Å³/cell: 106


No. 8
# LaLuMnZn

LaLuMnZn after structural relaxation (PBE, Alexandria).

Cell: 5.0929 5.0929 5.0929 Å, 60.00 60.00 60.00°
Last column: magnetic moment on the atom in μB.
Element x y z (fractional)
Mn (0.5000, 0.5000, 0.5000)  3.35
Lu (0.7500, 0.7500, 0.7500)  -0.31
La (0.2500, 0.2500, 0.2500)  -0.17
Zn (0.0000, 0.0000, 0.0000)  -0.04

Final energy, eV per cell: -19.93
V, Å³/cell: 93


No. 9
# KSr2Co

KSr2Co after structural relaxation (PBE, Alexandria).

Cell: 6.0116 6.0116 6.0116 Å, 60.00 60.00 60.00°
Last column: magnetic moment on the atom in μB.
Element x y z (fractional)
Co (0.5000, 0.5000, 0.5000)  1.71
Sr (0.2500, 0.2500, 0.2500)  -0.06
Sr (0.0000, 0.0000, 0.0000)  -0.06
K (0.7500, 0.7500, 0.7500)  -0.01

Final energy, eV per cell: -8.35
V, Å³/cell: 154


No. 10
# Ge2PbSeBr

Ge2PbSeBr after structural relaxation (PBE, Alexandria).

Cell: 5.2260 5.9713 5.2260 Å, 90.00 90.00 90.00°
Element x y z (fractional)
Se (0.0000, 0.0000, 0.0000)
Ge (0.5000, 0.0000, 0.0000)
Ge (0.0000, 0.0000, 0.5000)
Pb (0.0000, 0.5000, 0.0000)
Br (0.5000, 0.5000, 0.5000)

Uncorrected formation energy, meV per atom: 395
V, Å³/cell: 163


No. 11
# K5Ce3I12

K5Ce3I12 after structural relaxation (PBE, Alexandria).

Cell: 17.1830 17.1830 17.1830 Å, 109.47 109.47 109.47°
Last column: magnetic moment on the atom in μB.
Element x y z (fractional)
I (0.1290, 0.3946, 0.0666)  -0.01
I (0.4334, 0.0624, 0.3280)  -0.01
I (0.2344, 0.6720, 0.1054)  -0.01
K (0.0000, 0.5000, 0.0000)  0.00
I (0.0624, 0.6290, 0.7344)  -0.01
Ce (0.8750, 0.1250, 0.2500)  1.48
K (0.5000, 0.5000, 0.0000)  0.00
I (0.3710, 0.4334, 0.1054)  -0.01
K (0.6250, 0.7500, 0.8750)  0.00
I (0.9334, 0.8280, 0.5624)  -0.01
I (0.2656, 0.3946, 0.8280)  -0.01
I (0.8280, 0.8946, 0.2656)  -0.01
I (0.3710, 0.9376, 0.7656)  -0.01
I (0.9376, 0.3710, 0.2656)  -0.01
K (0.8750, 0.2500, 0.6250)  0.00
I (0.8280, 0.9334, 0.0624)  -0.01
I (0.7344, 0.6054, 0.1720)  -0.01
I (0.4376, 0.6720, 0.0666)  -0.01
I (0.1720, 0.1054, 0.7344)  -0.01
Ce (0.1250, 0.8750, 0.7500)  1.48
K (0.2500, 0.3750, 0.6250)  0.00
Ce (0.8750, 0.7500, 0.1250)  1.48
I (0.8946, 0.0666, 0.6290)  -0.01
I (0.6720, 0.4376, 0.5666)  -0.01
K (0.0000, 0.5000, 0.5000)  0.00
Ce (0.3750, 0.6250, 0.2500)  1.48
I (0.7656, 0.4376, 0.3710)  -0.01
I (0.6290, 0.5666, 0.8946)  -0.01
Ce (0.7500, 0.8750, 0.6250)  1.48
I (0.2656, 0.8710, 0.9376)  -0.01
K (0.2500, 0.8750, 0.1250)  0.00
I (0.3946, 0.2656, 0.3280)  -0.01
K (0.1250, 0.7500, 0.3750)  0.00
I (0.3280, 0.5624, 0.4334)  -0.01
I (0.9376, 0.5666, 0.1720)  -0.01
K (0.0000, 0.0000, 0.0000)  0.00
I (0.3280, 0.7656, 0.3946)  -0.01
K (0.3750, 0.1250, 0.7500)  0.00
I (0.3946, 0.1290, 0.5666)  -0.01
I (0.0624, 0.4334, 0.8280)  -0.01
Ce (0.7500, 0.3750, 0.1250)  1.48
I (0.7344, 0.1290, 0.0624)  -0.01
K (0.8750, 0.6250, 0.7500)  0.00
I (0.4376, 0.7656, 0.8710)  -0.01
Ce (0.1250, 0.2500, 0.8750)  1.48
I (0.5624, 0.2344, 0.1290)  -0.01
K (0.6250, 0.8750, 0.2500)  0.00
I (0.9334, 0.1054, 0.8710)  -0.01
I (0.8710, 0.2656, 0.4376)  -0.01
K (0.5000, 0.0000, 0.0000)  0.00
K (0.0000, 0.0000, 0.5000)  0.00
I (0.7656, 0.3280, 0.8946)  -0.01
Ce (0.6250, 0.2500, 0.3750)  1.48
I (0.6720, 0.2344, 0.6054)  -0.01
I (0.1290, 0.7344, 0.5624)  -0.01
Ce (0.6250, 0.3750, 0.7500)  1.48
Ce (0.2500, 0.1250, 0.3750)  1.48
Ce (0.3750, 0.7500, 0.6250)  1.48
I (0.1054, 0.1720, 0.2344)  -0.01
K (0.7500, 0.6250, 0.3750)  0.00
I (0.8710, 0.6054, 0.9334)  -0.01
I (0.6290, 0.0624, 0.2344)  -0.01
I (0.6054, 0.7344, 0.6720)  -0.01
I (0.5666, 0.9376, 0.6720)  -0.01
I (0.6054, 0.8710, 0.4334)  -0.01
K (0.5000, 0.0000, 0.5000)  0.00
I (0.0666, 0.8946, 0.1290)  -0.01
I (0.2344, 0.5624, 0.6290)  -0.01
I (0.5624, 0.3280, 0.9334)  -0.01
Ce (0.2500, 0.6250, 0.8750)  1.48
K (0.3750, 0.2500, 0.1250)  0.00
I (0.0666, 0.1720, 0.4376)  -0.01
K (0.5000, 0.5000, 0.5000)  0.00
I (0.5666, 0.6290, 0.3946)  -0.01
I (0.4334, 0.3710, 0.6054)  -0.01
I (0.1054, 0.9334, 0.3710)  -0.01
K (0.7500, 0.1250, 0.8750)  0.00
I (0.1720, 0.0666, 0.9376)  -0.01
K (0.1250, 0.3750, 0.2500)  0.00
I (0.8946, 0.8280, 0.7656)  -0.01

Uncorrected formation energy, meV per atom: -1177
V, Å³/cell: 3906


No. 12
# LaTcTe2

LaTcTe2 after structural relaxation (PBE, Alexandria).

Cell: 9.8381 4.2128 13.9243 Å, 90.00 124.77 90.00°
Element x y z (fractional)
Te (0.9006, 0.5000, 0.3565)
La (0.3454, 0.5000, 0.3413)
Tc (0.0370, 0.5000, 0.8083)
Te (0.3331, 0.5000, 0.0343)
Te (0.6669, 0.5000, 0.9657)
Te (0.6669, 0.0000, 0.4657)
Te (0.3331, 0.0000, 0.5343)
Te (0.0994, 0.0000, 0.1435)
Tc (0.0370, 0.0000, 0.3083)
Te (0.9006, 0.0000, 0.8565)
La (0.3454, 0.0000, 0.8413)
Te (0.0994, 0.5000, 0.6435)
La (0.6546, 0.5000, 0.6587)
La (0.6546, 0.0000, 0.1587)
Tc (0.9630, 0.5000, 0.1917)
Tc (0.9630, 0.0000, 0.6917)

Uncorrected formation energy, meV per atom: -742
V, Å³/cell: 474


No. 13
# ScTaSiN2

ScTaSiN2 after structural relaxation (PBE, Alexandria).

Cell: 4.0249 5.1216 4.0249 Å, 90.00 90.00 90.00°
Element x y z (fractional)
Si (0.0000, 0.5000, 0.0000)
N (0.0000, 0.0000, 0.5000)
N (0.5000, 0.0000, 0.0000)
Ta (0.0000, 0.0000, 0.0000)
Sc (0.5000, 0.5000, 0.5000)

Uncorrected formation energy, meV per atom: 37
V, Å³/cell: 83


No. 14
# ZnP2Cl6

ZnP2Cl6 after structural relaxation (PBE, Alexandria).

Cell: 7.1028 9.5843 9.5843 Å, 83.89 75.40 75.40°
Element x y z (fractional)
Cl (0.9433, 0.1724, 0.9934)
Cl (0.9036, 0.5807, 0.7577)
Cl (0.5228, 0.5558, 0.2399)
P (0.6381, 0.4508, 0.4114)
Cl (0.4036, 0.7577, 0.5807)
P (0.3619, 0.5492, 0.5886)
Zn (0.2500, 0.0003, 0.9997)
Cl (0.0964, 0.4193, 0.2423)
Cl (0.5567, 0.0066, 0.8276)
P (0.1381, 0.4114, 0.4508)
Zn (0.7500, 0.9997, 0.0003)
Cl (0.0567, 0.8276, 0.0066)
Cl (0.5964, 0.2423, 0.4193)
Cl (0.4772, 0.4442, 0.7601)
Cl (0.9772, 0.7601, 0.4442)
Cl (0.0228, 0.2399, 0.5558)
Cl (0.4433, 0.9934, 0.1724)
P (0.8619, 0.5886, 0.5492)

Uncorrected formation energy, meV per atom: -675
V, Å³/cell: 610


No. 15
# Li2AlTc

Li2AlTc after structural relaxation (PBE, Alexandria).

Cell: 2.6738 2.6738 9.0034 Å, 90.00 90.00 106.24°
Element x y z (fractional)
Li (0.5000, 0.5000, 0.2684)
Li (0.0000, 0.0000, 0.9820)
Al (0.5000, 0.5000, 0.7395)
Tc (0.0000, 0.0000, 0.5101)

Final energy, eV per cell: -18.01
V, Å³/cell: 62